Entry from the Alexandria database: Hf2TlPd after structural relaxation (PBE-GGA).

abc: 3.465 3.465 8.757
angles: 78.59 78.59 60.00
Fractional coordinates of all 4 atoms:
Tl 0.500 0.500 0.500
Hf 0.262 0.262 0.215
Hf 0.738 0.738 0.785
Pd 0.000 0.000 0.000

Summary:
final energy: -27.69 eV for the cell shown
ΔE to the lowest computed polymorph: 69.5 kJ/mol of formula units
calculated formation energy: -0.0571 eV/atom
DOS at the Fermi energy: 4.02 states/eV/cell
theoretical density: 12.512 g/cm3

Entry from the Alexandria database: Hf2TlPd after structural relaxation (PBE-GGA).

abc: 3.168 3.168 8.094
angles: 90.00 90.00 90.00
Fractional coordinates of all 4 atoms:
Tl 0.500 0.500 0.500
Hf 0.000 0.000 0.776
Hf 0.000 0.000 0.224
Pd 0.500 0.500 0.000

Summary:
final energy: -28.42 eV for the cell shown
ΔE to the lowest computed polymorph: 0.0 kJ/mol of formula units
calculated formation energy: -0.2373 eV/atom
DOS at the Fermi energy: 3.95 states/eV/cell
theoretical density: 13.649 g/cm3

Entry from the Alexandria database: Hf2TlPd after structural relaxation (PBE-GGA).

abc: 4.209 4.209 10.524
angles: 78.47 78.47 90.00
Fractional coordinates of all 8 atoms:
Tl 0.000 0.000 0.000
Tl 0.750 0.250 0.500
Hf 0.626 0.125 0.250
Hf 0.124 0.625 0.250
Hf 0.375 0.374 0.750
Hf 0.875 0.876 0.750
Pd 0.500 0.500 0.000
Pd 0.250 0.750 0.500

Summary:
final energy: -52.58 eV for the cell shown
ΔE to the lowest computed polymorph: 205.0 kJ/mol of formula units
calculated formation energy: 0.2938 eV/atom
DOS at the Fermi energy: 6.15 states/eV/cell
theoretical density: 12.403 g/cm3

Entry from the Alexandria database: Hf2TlPd8 after structural relaxation (PBE-GGA).

abc: 4.053 6.581 7.557
angles: 105.28 105.56 90.00
Fractional coordinates of all 11 atoms:
Hf 0.782 0.334 0.564
Hf 0.218 0.666 0.436
Tl 0.500 0.000 0.000
Pd 0.402 0.539 0.804
Pd 0.679 0.914 0.358
Pd 0.849 0.789 0.699
Pd 0.958 0.278 0.915
Pd 0.151 0.211 0.301
Pd 0.321 0.086 0.642
Pd 0.598 0.461 0.196
Pd 0.042 0.722 0.085

Summary:
final energy: -70.01 eV for the cell shown
calculated formation energy: -0.5634 eV/atom
DOS at the Fermi energy: 4.80 states/eV/cell
theoretical density: 12.559 g/cm3